Entry from Alexandria via LeMat-Bulk: UCuBiAu after structural relaxation (PBE).

abc: 7.0741 7.0741 7.0741
angles: 90.00 90.00 90.00
Space group F-43m (No. 216)
Unique sites:
U  0.0000  0.0000  0.0000 x4
Cu  0.2500  0.2500  0.7500 x4
Bi  0.0000  0.0000  0.5000 x4
Au  0.2500  0.2500  0.2500 x4

Summary:
The volume comes out at 354.0 Å³ per cell. The calculation puts the formation energy at 97 meV per atom. The calculation puts the total DFT energy (no corrections) at -5.54 eV per atom.